Run 1
Compound: Sr2ZnSi
Source: Alexandria
Functional: PBE
Structure: optimized geometry

abc: 3.804 3.859 7.814
angles: 90.00 90.00 90.00
Positions (direct):
Sr: 0.000 0.000 0.239
Sr: 0.000 0.000 0.761
Zn: 0.500 0.500 0.500
Si: 0.500 0.500 0.000

Values from the calculation:
- DOS at the Fermi energy: 2.3 states/eV/cell
- Symmetry: Pmmm, No. 47

---

Run 2
Compound: Sr2ZnSi
Source: Alexandria
Functional: PBE
Structure: optimized geometry

abc: 3.719 3.719 8.908
angles: 90.00 90.00 90.00
Positions (direct):
Sr: 0.000 0.000 0.000
Sr: 0.500 0.500 0.414
Zn: 0.000 0.000 0.641
Si: 0.500 0.500 0.770

Values from the calculation:
- DOS at the Fermi energy: 3.8 states/eV/cell
- Symmetry: P4mm, No. 99

---

Run 3
Compound: Sr2ZnSi
Source: Alexandria
Functional: PBE
Structure: optimized geometry

abc: 10.158 10.158 10.158
angles: 146.61 146.61 47.94
Positions (direct):
Sr: 0.106 0.625 0.981
Sr: 0.375 0.356 0.481
Sr: 0.644 0.125 0.019
Sr: 0.875 0.894 0.519
Zn: 0.250 0.750 0.500
Zn: 0.500 0.500 0.000
Si: 0.000 0.000 0.000
Si: 0.750 0.250 0.500

Values from the calculation:
- DOS at the Fermi energy: 6.4 states/eV/cell
- Symmetry: I-42d, No. 122

---

Run 4
Compound: Sr2ZnSi
Source: Alexandria
Functional: PBE
Structure: optimized geometry

abc: 4.909 4.909 7.738
angles: 101.46 101.46 47.66
Positions (direct):
Sr: 0.241 0.241 0.224
Sr: 0.759 0.759 0.776
Zn: 0.000 0.000 0.500
Si: 0.500 0.500 0.000

Values from the calculation:
- DOS at the Fermi energy: 1.9 states/eV/cell
- Symmetry: C2/m, No. 12

---

Most stable structure - run 1; separation to the second - 161 meV/atom.

---

Run 1
Compound: Sr2ZnSi
Source: Alexandria
Functional: PBE
Structure: optimized geometry

abc: 5.458 5.458 3.832
angles: 90.00 90.00 90.00
Positions (direct):
Sr: 0.000 0.500 0.000
Sr: 0.500 0.000 0.000
Zn: 0.000 0.000 0.500
Si: 0.500 0.500 0.500

Values from the calculation:
- DOS at the Fermi energy: 1.6 states/eV/cell
- Symmetry: P4/mmm, No. 123

---

Run 2
Compound: Sr2ZnSi
Source: Alexandria
Functional: PBE
Structure: optimized geometry

abc: 6.550 4.386 8.837
angles: 90.00 109.91 90.00
Positions (direct):
Sr: 0.207 0.250 0.423
Sr: 0.222 0.250 0.933
Sr: 0.778 0.750 0.067
Sr: 0.793 0.750 0.577
Zn: 0.394 0.750 0.228
Zn: 0.606 0.250 0.772
Si: 0.369 0.750 0.716
Si: 0.631 0.250 0.284

Values from the calculation:
- DOS at the Fermi energy: 1.8 states/eV/cell
- Symmetry: P2_1/m, No. 11

---

Most stable structure - run 2; separation to the second - 115 meV/atom.

---

Run 1
Compound: SrZn3Si
Source: Alexandria
Functional: PBE
Structure: optimized geometry

abc: 4.891 4.891 4.891
angles: 90.00 90.00 90.00
Positions (direct):
Sr: 0.000 0.000 0.000
Zn: 0.000 0.500 0.500
Zn: 0.500 0.000 0.500
Zn: 0.500 0.500 0.000
Si: 0.500 0.500 0.500

Values from the calculation:
- DOS at the Fermi energy: 2.8 states/eV/cell
- Symmetry: Pm-3m, No. 221

---

Run 2
Compound: SrZn3Si
Source: Alexandria
Functional: PBE
Structure: optimized geometry

abc: 5.919 5.919 5.919
angles: 90.00 90.00 90.00
Positions (direct):
Sr: 0.000 0.000 0.000
Zn: 0.000 0.000 0.500
Zn: 0.000 0.500 0.000
Zn: 0.500 0.000 0.000
Si: 0.500 0.500 0.500

Values from the calculation:
- DOS at the Fermi energy: 3.9 states/eV/cell
- Symmetry: Pm-3m, No. 221

---

Most stable structure - run 1; separation to the second - 1188 meV/atom.

---

Run 1
Compound: SrZr3Si
Source: Alexandria
Functional: PBE
Structure: optimized geometry

abc: 5.082 5.082 5.082
angles: 90.00 90.00 90.00
Positions (direct):
Sr: 0.000 0.000 0.000
Zr: 0.000 0.000 0.500
Zr: 0.000 0.500 0.000
Zr: 0.500 0.000 0.000
Si: 0.500 0.500 0.500

Values from the calculation:
- DOS at the Fermi energy: 6.9 states/eV/cell
- Symmetry: Pm-3m, No. 221

---

Run 2
Compound: SrZr3Si
Source: Alexandria
Functional: PBE
Structure: optimized geometry

abc: 5.175 5.175 5.175
angles: 90.00 90.00 90.00
Positions (direct):
Sr: 0.000 0.000 0.000
Zr: 0.000 0.500 0.500
Zr: 0.500 0.000 0.500
Zr: 0.500 0.500 0.000
Si: 0.500 0.500 0.500

Values from the calculation:
- DOS at the Fermi energy: 8.2 states/eV/cell
- Symmetry: Pm-3m, No. 221

---

Most stable structure - run 2; separation to the second - 1777 meV/atom.

---

Run 1
Compound: SrZr2Si2
Source: Alexandria
Functional: PBE
Structure: optimized geometry

abc: 7.660 7.660 3.617
angles: 90.00 90.00 90.00
Positions (direct):
Sr: 0.000 0.000 0.000
Sr: 0.500 0.500 0.000
Zr: 0.168 0.332 0.500
Zr: 0.332 0.832 0.500
Zr: 0.668 0.168 0.500
Zr: 0.832 0.668 0.500
Si: 0.117 0.617 0.000
Si: 0.383 0.117 0.000
Si: 0.617 0.883 0.000
Si: 0.883 0.383 0.000

Values from the calculation:
- DOS at the Fermi energy: 8.3 states/eV/cell
- Symmetry: P4/mbm, No. 127

---

Run 2
Compound: SrZr2Si2
Source: Alexandria
Functional: PBE
Structure: optimized geometry

abc: 6.764 6.764 6.764
angles: 141.72 141.72 55.26
Positions (direct):
Sr: 0.000 0.000 0.000
Zr: 0.250 0.750 0.500
Zr: 0.750 0.250 0.500
Si: 0.390 0.390 0.000
Si: 0.610 0.610 0.000

Values from the calculation:
- DOS at the Fermi energy: 5.7 states/eV/cell
- Symmetry: I4/mmm, No. 139

---

Most stable structure - run 2; separation to the second - 90 meV/atom.

---

Run 1
Compound: SrZrSi3
Source: Alexandria
Functional: PBE
Structure: optimized geometry

abc: 5.106 5.106 5.106
angles: 90.00 90.00 90.00
Positions (direct):
Sr: 0.000 0.000 0.000
Zr: 0.500 0.500 0.500
Si: 0.000 0.500 0.500
Si: 0.500 0.000 0.500
Si: 0.500 0.500 0.000

Values from the calculation:
- DOS at the Fermi energy: 2.9 states/eV/cell
- Symmetry: Pm-3m, No. 221

---

Run 2
Compound: SrZrSi3
Source: Alexandria
Functional: PBE
Structure: optimized geometry

abc: 5.114 5.114 5.114
angles: 90.00 90.00 90.00
Positions (direct):
Sr: 0.000 0.000 0.000
Zr: 0.500 0.500 0.500
Si: 0.000 0.000 0.500
Si: 0.000 0.500 0.000
Si: 0.500 0.000 0.000

Values from the calculation:
- DOS at the Fermi energy: 2.6 states/eV/cell
- Symmetry: Pm-3m, No. 221

---

Most stable structure - run 1; separation to the second - 1539 meV/atom.